5
Lattice="4.0689 0.0000 0.0000 0.0000 4.0689 0.0000 0.0000 0.0000 6.5299" Properties=species:S:1:pos:R:3 comment="PBE+U VSnIO2, optimized geometry" crystal_system=tetragonal space_group="P4/mmm, No. 123" pbc="T T T"
I 0.0000 0.0000 3.2650
Sn 0.0000 0.0000 0.0000
O 0.0000 2.0345 0.0000
O 2.0345 0.0000 0.0000
V 2.0345 2.0345 3.2650

***

5
Lattice="5.9476 0.0000 0.0000 0.0000 5.9476 0.0000 0.0000 0.0000 3.7374" Properties=species:S:1:pos:R:3 comment="PBE+U VSnI2O, optimized geometry" crystal_system=tetragonal space_group="P4/mmm, No. 123" pbc="T T T"
I 0.0000 2.9738 0.0000
I 2.9738 0.0000 0.0000
Sn 2.9738 2.9738 1.8687
O 0.0000 0.0000 1.8687
V 0.0000 0.0000 0.0000

***

5
Lattice="4.1074 0.0000 0.0000 0.0000 4.1074 0.0000 0.0000 0.0000 5.3703" Properties=species:S:1:pos:R:3 comment="PBE+U VSnIO2, optimized geometry" crystal_system=tetragonal space_group="P4/mmm, No. 123" pbc="T T T"
I 0.0000 0.0000 2.6851
Sn 2.0537 2.0537 2.6851
O 0.0000 2.0537 0.0000
O 2.0537 0.0000 0.0000
V 0.0000 0.0000 0.0000

***

5
Lattice="-5.9210 0.4351 -1.6482 1.2955 -2.7236 -5.3729 -0.7308 -3.6342 1.6660" Properties=species:S:1:pos:R:3 comment="PBE+U VSnI2O, optimized geometry" crystal_system=tetragonal space_group="P4/mmm, No. 123" pbc="T T T"
I 0.6477 -1.3618 -2.6865
I -2.9605 0.2176 -0.8241
Sn 0.0000 0.0000 0.0000
O -0.3654 -1.8171 0.8330
V -2.6782 -2.9614 -2.6776

***

Across the entries above, electronic total energy takes the values -0.3560, -0.3246, -0.3584, -0.2802 Ry per atom, respectively.